DFT (PBE) results for crystalline InGePb2 at its relaxed geometry.

a = 6.769 Å, b = 6.769 Å, c = 7.975 Å
α = 64.89°, β = 64.89°, γ = 90.00°
Fractional coordinates of all 8 atoms:
Pb  0.601  0.125  0.250
Pb  0.149  0.625  0.250
Pb  0.375  0.399  0.750
Pb  0.875  0.851  0.750
Ge  0.500  0.500  0.000
Ge  0.250  0.750  0.500
In  0.000  0.000  0.000
In  0.750  0.250  0.500

Results
**E**: -3.43 eV per atom
**Total magnetic moment**: 0.000 μB/atom
**ΔH_f (0 K)**: 0.26 eV per atom



DFT (PBE) results for crystalline Ac6La12Cd at its relaxed geometry.

a = 9.695 Å, b = 9.695 Å, c = 9.695 Å
α = 108.85°, β = 108.86°, γ = 108.86°
Fractional coordinates of all 19 atoms:
Ac  0.182  0.252  0.455
Ac  0.748  0.545  0.818
Ac  0.545  0.818  0.748
Ac  0.818  0.748  0.545
Ac  0.252  0.455  0.182
Ac  0.455  0.182  0.252
La  0.491  0.142  0.644
La  0.142  0.644  0.491
La  0.644  0.491  0.142
La  0.509  0.858  0.356
La  0.858  0.356  0.509
La  0.356  0.509  0.858
La  0.258  0.074  0.804
La  0.196  0.742  0.926
La  0.926  0.196  0.742
La  0.742  0.926  0.196
La  0.804  0.258  0.074
La  0.074  0.804  0.258
Cd  0.000  0.000  0.000

Results
**E**: -4.37 eV per atom
**Total magnetic moment**: 0.000 μB/atom
**ΔH_f (0 K)**: 0.08 eV per atom



DFT (PBE) results for crystalline MgAl2H8 at its relaxed geometry.

a = 6.349 Å, b = 6.255 Å, c = 7.789 Å
α = 82.71°, β = 65.95°, γ = 59.50°
Fractional coordinates of all 22 atoms:
Mg  0.991  0.750  0.250
Mg  0.009  0.250  0.750
Al  0.771  0.899  0.987
Al  0.343  0.399  0.487
Al  0.657  0.601  0.513
Al  0.229  0.101  0.013
H  0.356  0.727  0.525
H  0.136  0.964  0.196
H  0.668  0.023  0.202
H  0.263  0.177  0.490
H  0.332  0.977  0.798
H  0.930  0.323  0.010
H  0.737  0.823  0.510
H  0.107  0.523  0.702
H  0.070  0.677  0.990
H  0.607  0.773  0.975
H  0.705  0.464  0.696
H  0.295  0.536  0.304
H  0.393  0.227  0.025
H  0.893  0.477  0.298
H  0.644  0.273  0.475
H  0.864  0.036  0.804

Results
**E**: -3.27 eV per atom
**Total magnetic moment**: 0.000 μB/atom
**Energy above the lowest structure with this stoichiometry**: 42 meV/atom



DFT (PBE) results for crystalline LiTb2CuRh2 at its relaxed geometry.

a = 5.590 Å, b = 5.568 Å, c = 8.203 Å
α = 109.84°, β = 109.92°, γ = 90.00°
Fractional coordinates of all 12 atoms:
Li  0.000  0.750  0.000
Li  0.000  0.250  0.000
Tb  0.431  0.169  0.338
Tb  0.569  0.831  0.662
Tb  0.093  0.331  0.662
Tb  0.907  0.669  0.338
Cu  0.500  0.750  0.000
Cu  0.500  0.250  0.000
Rh  0.884  0.126  0.252
Rh  0.368  0.626  0.252
Rh  0.632  0.374  0.748
Rh  0.116  0.874  0.748

Results
**E**: -5.55 eV per atom
**Total magnetic moment**: 0.000 μB/atom
**ΔH_f (0 K)**: -0.55 eV per atom



DFT (PBE) results for crystalline TlH2PbCl8 at its relaxed geometry.

a = 7.106 Å, b = 6.962 Å, c = 8.045 Å
α = 101.64°, β = 89.15°, γ = 107.20°
Fractional coordinates of all 12 atoms:
Tl  0.000  0.000  0.500
H  0.348  0.306  0.768
H  0.652  0.694  0.232
Pb  0.000  0.000  0.000
Cl  0.165  0.841  0.242
Cl  0.669  0.688  0.994
Cl  0.898  0.215  0.310
Cl  0.835  0.159  0.758
Cl  0.331  0.312  0.006
Cl  0.102  0.785  0.690
Cl  0.638  0.695  0.402
Cl  0.362  0.305  0.598

Results
**E**: -2.93 eV per atom
**Total magnetic moment**: 0.000 μB/atom



DFT (PBE) results for crystalline Pm3Ga2Pb2 at its relaxed geometry.

a = 4.439 Å, b = 6.228 Å, c = 8.149 Å
α = 112.13°, β = 90.00°, γ = 110.88°
Fractional coordinates of all 7 atoms:
Pm  0.325  0.649  0.357
Pm  0.675  0.351  0.643
Pm  0.500  0.000  0.000
Ga  0.789  0.577  0.080
Ga  0.211  0.423  0.920
Pb  0.958  0.916  0.677
Pb  0.042  0.084  0.323

Results
**E**: -4.53 eV per atom
**Total magnetic moment**: 0.000 μB/atom
**ΔH_f (0 K)**: -0.57 eV per atom



Number 1: DOS at the Fermi energy 0.3858 states/eV/atom. Number 2: DOS at the Fermi energy 1.5511 states/eV/atom. Number 3: DOS at the Fermi energy 0.0000 states/eV/atom. Number 4: DOS at the Fermi energy 0.5144 states/eV/atom. Number 5: DOS at the Fermi energy 0.2138 states/eV/atom. Number 6: DOS at the Fermi energy 0.7662 states/eV/atom.